1.
A plane-wave DFT calculation with GGA-PBEsol was carried out for a relaxed LaIn2Se crystal.

a = 4.7034 Å, b = 4.7034 Å, c = 9.0948 Å
α = 90.00°, β = 90.00°, γ = 90.00°
Space group I-4m2 (No. 119)
Symmetry-distinct sites (fractional):
La 0.0000 0.0000 0.0000 x2
In 0.0000 0.0000 0.5000 x2
In 0.0000 0.5000 0.7500 x2
Se 0.0000 0.5000 0.2500 x2

Summary:
Theoretical density (Mg/m³): 7.39
Uncorrected formation energy (meV per atom): -705
Calculated total energy (eV per atom): -4.495

2.
A plane-wave DFT calculation with GGA-PBEsol was carried out for a relaxed K2MnPb crystal.

a = 3.3795 Å, b = 3.3795 Å, c = 11.3442 Å
α = 90.00°, β = 90.00°, γ = 90.00°
Space group P4/mmm (No. 123)
Symmetry-distinct sites (fractional):
K 0.0000 0.0000 0.2497 x2
Mn 0.5000 0.5000 0.0000 x1
Pb 0.5000 0.5000 0.5000 x1

Summary:
Theoretical density (Mg/m³): 4.36
Calculated formation energy (meV/atom): 684
Calculated total energy (eV per atom): -3.323

3.
A plane-wave DFT calculation with GGA-PBEsol was carried out for a relaxed Fe2WBr crystal.

a = 2.9310 Å, b = 3.0159 Å, c = 6.7669 Å
α = 90.00°, β = 90.00°, γ = 90.00°
Space group Pmmm (No. 47)
Symmetry-distinct sites (fractional):
Fe 0.0000 0.0000 0.1964 x2
W 0.5000 0.5000 0.0000 x1
Br 0.5000 0.0000 0.5000 x1

Summary:
Theoretical density (Mg/m³): 10.42
Uncorrected formation energy (meV per atom): 441
Calculated total energy (eV per atom): -7.961

4.
A plane-wave DFT calculation with GGA-PBEsol was carried out for a relaxed CaEu4O5 crystal.

a = 7.8189 Å, b = 7.8189 Å, c = 4.9502 Å
α = 90.00°, β = 90.00°, γ = 90.00°
Space group I4/m (No. 87)
Symmetry-distinct sites (fractional):
Ca 0.0000 0.0000 0.0000 x2
Eu 0.0997 0.7004 0.5000 x8
O 0.0000 0.0000 0.5000 x2
O 0.0988 0.7059 0.0000 x8

Summary:
Theoretical density (Mg/m³): 7.99
Uncorrected formation energy (meV per atom): -2895
Calculated total energy (eV per atom): -9.959

5.
A plane-wave DFT calculation with GGA-PBEsol was carried out for a relaxed NiMoW2 crystal.

a = 3.9735 Å, b = 3.9735 Å, c = 7.2940 Å
α = 90.00°, β = 90.00°, γ = 90.00°
Space group I-4m2 (No. 119)
Symmetry-distinct sites (fractional):
Ni 0.0000 0.0000 0.0000 x2
Mo 0.0000 0.5000 0.7500 x2
W 0.0000 0.0000 0.5000 x2
W 0.0000 0.5000 0.2500 x2

Summary:
Theoretical density (Mg/m³): 15.06
Calculated formation energy (meV/atom): 219
Calculated total energy (eV per atom): -11.167

6.
A plane-wave DFT calculation with GGA-PBEsol was carried out for a relaxed NbPIN2 crystal.

a = 3.7805 Å, b = 3.7805 Å, c = 5.0774 Å
α = 90.00°, β = 90.00°, γ = 90.00°
Space group P4/mmm (No. 123)
Symmetry-distinct sites (fractional):
Nb 0.0000 0.0000 0.0000 x1
P 0.5000 0.5000 0.5000 x1
I 0.5000 0.5000 0.0000 x1
N 0.0000 0.5000 0.5000 x2

Summary:
Theoretical density (Mg/m³): 6.38
Uncorrected formation energy (meV per atom): 1442
Calculated total energy (eV per atom): -5.644

7.
A plane-wave DFT calculation with GGA-PBEsol was carried out for a relaxed Zr2TlIn crystal.

a = 3.1395 Å, b = 4.3427 Å, c = 6.2883 Å
α = 90.00°, β = 90.00°, γ = 90.00°
Space group Pmmm (No. 47)
Symmetry-distinct sites (fractional):
Zr 0.0000 0.0000 0.2483 x2
Tl 0.5000 0.5000 0.5000 x1
In 0.5000 0.5000 0.0000 x1

Summary:
Theoretical density (Mg/m³): 9.72
Calculated formation energy (meV/atom): -277
Calculated total energy (eV per atom): -6.225

8.
A plane-wave DFT calculation with GGA-PBEsol was carried out for a relaxed Y2CuRh crystal.

a = 4.3106 Å, b = 3.7305 Å, c = 10.2302 Å
α = 90.00°, β = 90.00°, γ = 90.00°
Space group Amm2 (No. 38)
Symmetry-distinct sites (fractional):
Y 0.0000 0.0000 0.0000 x2
Y 0.5000 0.0000 0.2789 x2
Cu 0.0000 0.0000 0.7128 x2
Rh 0.5000 0.0000 0.5591 x2

Summary:
Theoretical density (Mg/m³): 6.95
Calculated formation energy (meV/atom): -537
Calculated total energy (eV per atom): -7.067

9.
A plane-wave DFT calculation with GGA-PBEsol was carried out for a relaxed LiSc2IrPb crystal.

a = 4.9531 Å, b = 4.9531 Å, c = 4.6516 Å
α = 90.00°, β = 90.00°, γ = 90.00°
Space group P4/mmm (No. 123)
Symmetry-distinct sites (fractional):
Li 0.0000 0.0000 0.0000 x1
Sc 0.0000 0.5000 0.5000 x2
Ir 0.0000 0.0000 0.5000 x1
Pb 0.5000 0.5000 0.0000 x1

Summary:
Theoretical density (Mg/m³): 7.22
Calculated formation energy (meV/atom): -201
Calculated total energy (eV per atom): -6.001

10.
A plane-wave DFT calculation with GGA-PBEsol was carried out for a relaxed TaNb3V4O20 crystal.

a = 7.0152 Å, b = 5.5769 Å, c = 11.9537 Å
α = 90.00°, β = 90.10°, γ = 90.00°
Space group Pm (No. 6)
Symmetry-distinct sites (fractional):
Ta 0.0000 0.0000 0.0000 x1
Nb 0.1813 0.0000 0.4999 x1
Nb 0.4971 0.5000 0.3803 x1
Nb 0.6838 0.5000 0.8819 x1
V 0.3086 0.5000 0.0935 x1
V 0.3676 0.0000 0.7871 x1
V 0.8091 0.0000 0.2852 x1
V 0.8683 0.5000 0.5944 x1
O 0.0126 0.0000 0.3648 x1
O 0.1607 0.0000 0.8644 x1
O 0.1801 0.2503 0.0631 x2
O 0.3101 0.0000 0.6458 x1
O 0.3386 0.2501 0.4396 x2
O 0.3659 0.5000 0.2338 x1
O 0.4953 0.2480 0.8175 x2
O 0.5140 0.5000 0.0174 x1
O 0.6637 0.5000 0.5152 x1
O 0.6800 0.2484 0.3141 x2
O 0.8073 0.5000 0.7347 x1
O 0.8392 0.2490 0.9409 x2
O 0.8713 0.0000 0.1451 x1
O 0.9968 0.2518 0.5652 x2

Summary:
Theoretical density (Mg/m³): 3.49
Uncorrected formation energy (meV per atom): -2485
Calculated total energy (eV per atom): -9.218

11.
A plane-wave DFT calculation with GGA-PBEsol was carried out for a relaxed KLiTa2 crystal.

a = 2.7344 Å, b = 2.7344 Å, c = 10.8022 Å
α = 90.00°, β = 90.00°, γ = 90.00°
Space group P4/mmm (No. 123)
Symmetry-distinct sites (fractional):
K 0.0000 0.0000 0.0000 x1
Li 0.0000 0.0000 0.5000 x1
Ta 0.5000 0.5000 0.3029 x2

Summary:
Theoretical density (Mg/m³): 8.39
Calculated formation energy (meV/atom): 1065
Calculated total energy (eV per atom): -5.986

12.
A plane-wave DFT calculation with GGA-PBEsol was carried out for a relaxed CaZrAu2 crystal.

a = 4.5970 Å, b = 3.4248 Å, c = 10.7335 Å
α = 90.00°, β = 90.00°, γ = 90.00°
Space group Amm2 (No. 38)
Symmetry-distinct sites (fractional):
Ca 0.0000 0.0000 0.0000 x2
Zr 0.5000 0.0000 0.2817 x2
Au 0.0000 0.0000 0.7340 x2
Au 0.5000 0.0000 0.5584 x2

Summary:
Theoretical density (Mg/m³): 10.32
Calculated formation energy (meV/atom): -575
Calculated total energy (eV per atom): -5.343

13.
A plane-wave DFT calculation with GGA-PBEsol was carried out for a relaxed Zr5Zn4Si4 crystal.

a = 10.6953 Å, b = 10.6953 Å, c = 3.7661 Å
α = 90.00°, β = 90.00°, γ = 90.00°
Space group I4/m (No. 87)
Symmetry-distinct sites (fractional):
Zr 0.0000 0.0000 0.0000 x2
Zr 0.1290 0.7988 0.5000 x8
Zn 0.0855 0.3958 0.5000 x8
Si 0.0598 0.2446 0.0000 x8

Summary:
Theoretical density (Mg/m³): 6.40
Uncorrected formation energy (meV per atom): -658
Calculated total energy (eV per atom): -6.409

14.
A plane-wave DFT calculation with GGA-PBEsol was carried out for a relaxed CaHf2BeRh crystal.

a = 4.7911 Å, b = 4.7911 Å, c = 4.1662 Å
α = 90.00°, β = 90.00°, γ = 90.00°
Space group P4/mmm (No. 123)
Symmetry-distinct sites (fractional):
Ca 0.0000 0.0000 0.0000 x1
Hf 0.0000 0.5000 0.5000 x2
Be 0.5000 0.5000 0.5000 x1
Rh 0.5000 0.5000 0.0000 x1

Summary:
Theoretical density (Mg/m³): 8.84
Calculated formation energy (meV/atom): 263
Calculated total energy (eV per atom): -6.793

15.
A plane-wave DFT calculation with GGA-PBEsol was carried out for a relaxed Li4Fe3Co3Ni2O16 crystal.

a = 9.6147 Å, b = 5.5420 Å, c = 9.1508 Å
α = 90.00°, β = 90.90°, γ = 90.00°
Space group Cm (No. 8)
Symmetry-distinct sites (fractional):
Li 0.0000 0.0000 0.0000 x2
Li 0.0015 0.0000 0.5007 x2
Li 0.1696 0.5000 0.3984 x2
Li 0.3370 0.0000 0.9025 x2
Fe 0.0895 0.2615 0.7170 x4
Fe 0.1742 0.0000 0.2169 x2
Co 0.3324 0.5000 0.7180 x2
Co 0.4156 0.2444 0.2182 x4
Ni 0.1703 0.5000 0.9953 x2
Ni 0.3379 0.0000 0.4918 x2
O 0.0041 0.0000 0.3112 x2
O 0.0058 0.0000 0.8104 x2
O 0.0232 0.5000 0.8469 x2
O 0.0842 0.2432 0.1095 x4
O 0.1671 0.0000 0.6093 x2
O 0.1697 0.5000 0.6052 x2
O 0.2439 0.2794 0.8411 x4
O 0.2629 0.2206 0.3437 x4
O 0.3332 0.0000 0.1095 x2
O 0.3396 0.5000 0.1047 x2
O 0.4233 0.2527 0.6087 x4
O 0.4832 0.0000 0.3406 x2

Summary:
Theoretical density (Mg/m³): 5.08
Uncorrected formation energy (meV per atom): -1330
Calculated total energy (eV per atom): -6.840

16.
A plane-wave DFT calculation with GGA-PBEsol was carried out for a relaxed KMgNi2Mo crystal.

a = 4.5455 Å, b = 4.5455 Å, c = 5.0478 Å
α = 90.00°, β = 90.00°, γ = 90.00°
Space group P4/mmm (No. 123)
Symmetry-distinct sites (fractional):
K 0.0000 0.0000 0.0000 x1
Mg 0.5000 0.5000 0.0000 x1
Ni 0.0000 0.5000 0.5000 x2
Mo 0.0000 0.0000 0.5000 x1

Summary:
Theoretical density (Mg/m³): 4.41
Calculated formation energy (meV/atom): 1431
Calculated total energy (eV per atom): -3.956

17.
A plane-wave DFT calculation with GGA-PBEsol was carried out for a relaxed MnTcBr2 crystal.

a = 6.4550 Å, b = 6.4550 Å, c = 6.4550 Å
α = 90.00°, β = 90.00°, γ = 90.00°
Space group Fm-3m (No. 225)
Symmetry-distinct sites (fractional):
Mn 0.0000 0.0000 0.0000 x4
Tc 0.0000 0.0000 0.5000 x4
Br 0.2500 0.2500 0.2500 x8

Summary:
Theoretical density (Mg/m³): 7.72
Uncorrected formation energy (meV per atom): 753
Calculated total energy (eV per atom): -5.439

18.
A plane-wave DFT calculation with GGA-PBEsol was carried out for a relaxed K4GeS4 crystal.

a = 12.6927 Å, b = 12.6927 Å, c = 12.6927 Å
α = 90.00°, β = 90.00°, γ = 90.00°
Space group P-43n (No. 218)
Symmetry-distinct sites (fractional):
K 0.0866 0.1342 0.6508 x24
K 0.1516 0.1516 0.1516 x8
Ge 0.0000 0.0000 0.0000 x2
Ge 0.0000 0.5000 0.2500 x6
S 0.0966 0.3888 0.6546 x24
S 0.1011 0.1011 0.8989 x8

Summary:
Theoretical density (Mg/m³): 2.32
Uncorrected formation energy (meV per atom): -1074
Calculated total energy (eV per atom): -4.075

19.
A plane-wave DFT calculation with GGA-PBEsol was carried out for a relaxed In2TcTe crystal.

a = 3.1849 Å, b = 3.1849 Å, c = 29.3735 Å
α = 90.00°, β = 90.00°, γ = 120.00°
Space group R-3m (No. 166, hexagonal axes)
Symmetry-distinct sites (fractional):
In 0.0000 0.0000 0.2363 x6
Tc 0.0000 0.0000 0.5000 x3
Te 0.0000 0.0000 0.0000 x3

Summary:
Theoretical density (Mg/m³): 8.79
Uncorrected formation energy (meV per atom): 368
Calculated total energy (eV per atom): -4.821

20.
A plane-wave DFT calculation with GGA-PBEsol was carried out for a relaxed NaTe2As2 crystal.

a = 8.2076 Å, b = 8.2076 Å, c = 3.8108 Å
α = 90.00°, β = 90.00°, γ = 90.00°
Space group P4/mbm (No. 127)
Symmetry-distinct sites (fractional):
Na 0.0000 0.0000 0.0000 x2
Te 0.1956 0.3044 0.5000 x4
As 0.1424 0.6424 0.0000 x4

Summary:
Theoretical density (Mg/m³): 5.54
Uncorrected formation energy (meV per atom): -87
Calculated total energy (eV per atom): -3.820

21.
A plane-wave DFT calculation with GGA-PBEsol was carried out for a relaxed LiMgIr2 crystal.

a = 3.7195 Å, b = 3.7195 Å, c = 8.1824 Å
α = 90.00°, β = 90.00°, γ = 90.00°
Space group I4/mmm (No. 139)
Symmetry-distinct sites (fractional):
Li 0.0000 0.0000 0.0000 x2
Mg 0.0000 0.0000 0.5000 x2
Ir 0.0000 0.5000 0.2500 x4

Summary:
Theoretical density (Mg/m³): 12.20
Calculated formation energy (meV/atom): -68
Calculated total energy (eV per atom): -5.901

22.
A plane-wave DFT calculation with GGA-PBEsol was carried out for a relaxed Mn3InPt crystal.

a = 4.7706 Å, b = 4.7706 Å, c = 4.7706 Å
α = 90.00°, β = 90.00°, γ = 90.00°
Space group Pm-3m (No. 221)
Symmetry-distinct sites (fractional):
Mn 0.0000 0.0000 0.5000 x3
In 0.0000 0.0000 0.0000 x1
Pt 0.5000 0.5000 0.5000 x1

Summary:
Theoretical density (Mg/m³): 7.26
Calculated formation energy (meV/atom): 1670
Calculated total energy (eV per atom): -6.176